[1]
A relaxed BeReAu crystal, computed with PBE.

Calculated density: 14.7 g/cm3
Calculated total energy: -17.36 eV per formula unit

```
data_BeReAu
_symmetry_space_group_name_H-M 'F -4 3 m'
_symmetry_Int_Tables_number 216
_symmetry_space_group_name_Hall 'F -4 2 3'
_cell_length_a 5.612
_cell_length_b 5.612
_cell_length_c 5.612
_cell_angle_alpha 90.00
_cell_angle_beta 90.00
_cell_angle_gamma 90.00
loop_
_atom_site_label
_atom_site_type_symbol
_atom_site_fract_x
_atom_site_fract_y
_atom_site_fract_z
Be1 Be 0.000 0.000 0.000
Re1 Re 0.250 0.250 0.250
Au1 Au 0.250 0.250 0.750
```

[2]
A relaxed RbGdPa crystal, computed with PBE.

Calculated density: 5.6 g/cm3
Calculated total energy: -9.62 eV per formula unit

```
data_RbGdPa
_symmetry_space_group_name_H-M 'F -4 3 m'
_symmetry_Int_Tables_number 216
_symmetry_space_group_name_Hall 'F -4 2 3'
_cell_length_a 8.252
_cell_length_b 8.252
_cell_length_c 8.252
_cell_angle_alpha 90.00
_cell_angle_beta 90.00
_cell_angle_gamma 90.00
loop_
_atom_site_label
_atom_site_type_symbol
_atom_site_fract_x
_atom_site_fract_y
_atom_site_fract_z
Rb1 Rb 0.000 0.000 0.000
Gd1 Gd 0.250 0.250 0.750
Pa1 Pa 0.000 0.000 0.500
```

[3]
A relaxed RbBaSmSe3 crystal, computed with PBE.

Calculated density: 3.6 g/cm3
Calculated total energy: -27.43 eV per formula unit

```
data_RbBaSmSe3
_symmetry_space_group_name_H-M 'C m c m'
_symmetry_Int_Tables_number 63
_symmetry_space_group_name_Hall '-C 2c 2'
_cell_length_a 4.440
_cell_length_b 20.089
_cell_length_c 12.507
_cell_angle_alpha 90.00
_cell_angle_beta 90.00
_cell_angle_gamma 90.00
loop_
_atom_site_label
_atom_site_type_symbol
_atom_site_fract_x
_atom_site_fract_y
_atom_site_fract_z
Rb1 Rb 0.000 0.130 0.250
Ba1 Ba 0.000 0.108 0.750
Sm1 Sm 0.000 0.500 0.000
Se1 Se 0.000 0.098 0.503
Se2 Se 0.000 0.500 0.250
```